Crystalline K3Na8Sr at its relaxed geometry, computed with PBE.

Unit cell a=7.3428 b=7.3428 c=11.8714 alpha=90.00 beta=90.00 gamma=120.00
With the nearest neighbours (Å) after each atom.
Space group P3m1 (No. 156)
Asymmetric unit:
K1 0.0000 0.0000 0.0000 [1 per cell]  12 Na 4.30-4.34, 4 K 4.46-4.50
K2 0.0000 0.0000 0.3754 [1 per cell]  12 Na 4.18-4.30, 1 K 4.46, 3 Sr 4.49
K3 0.3333 0.6667 0.8722 [1 per cell]  12 Na 4.31-4.34, 1 Sr 4.42, 3 K 4.50
Na1 0.0054 0.5027 0.1929 [3 per cell]  6 Na 3.61-3.73
Na2 0.3303 0.1652 0.6798 [3 per cell]  6 Na 3.58-3.74
Na3 0.6667 0.3333 0.4378 [1 per cell]  6 Na 3.58-3.62
Na4 0.6667 0.3333 0.9378 [1 per cell]  6 Na 3.72-3.74
Sr1 0.3333 0.6667 0.4996 [1 per cell]  12 Na 4.20-4.30, 4 K 4.42-4.49

## Properties
D(E_F) ... 7.2 states/eV/f.u.
Total energy ... -1.28 eV per atom
Magnetic moment ... 0.00 μB per cell